# 1
# CePmAgHg

A geometry-optimized CePmAgHg structure (GGA-PBE, Alexandria via LeMat-Bulk).

```
4
Lattice="5.343 0.000 0.000 2.671 4.627 0.000 2.671 1.542 4.362" Properties=species:S:1:pos:R:3 pbc="T T T"
Pm 0.000 0.000 0.000
Ce 5.343 3.085 2.181
Hg 2.671 1.542 1.091
Ag 8.014 4.627 3.272
```

## Properties
- space group = No. 216
- energy of formation from the pure elements (meV per atom) = -259

# 2
# Ce2PrAg2Hg2

A geometry-optimized Ce2PrAg2Hg2 structure (GGA-PBE, Alexandria via LeMat-Bulk).

```
7
Lattice="4.903 0.000 0.000 2.452 4.246 0.000 2.452 1.415 8.342" Properties=species:S:1:pos:R:3 pbc="T T T"
Hg 7.355 4.246 6.731
Ce 2.452 1.415 4.814
Ce 7.355 4.246 3.527
Pr 0.000 0.000 0.000
Ag 4.903 2.831 2.224
Ag 4.903 2.831 6.118
Hg 2.452 1.415 1.611
```

## Properties
- space group = No. 166
- energy of formation from the pure elements (meV per atom) = -197